Record 1
# ZrRe2Cl2

ZrRe2Cl2 at its PBEsol-relaxed geometry (meta-GGA SCAN, Alexandria).

- E_tot (eV per cell) = -187.198
- ΔE_f (raw) (meV per atom) = 330
- V (Å³/f.u.) = 90.0
- total moment (μB/f.u.) = 0.0

```
ZrRe2Cl2
1.0
-1.962 1.962 5.847
1.962 -1.962 5.847
1.962 1.962 -5.847
Zr Re Cl
1 2 2
direct
0.000 0.000 0.000
0.402 0.402 0.000
0.598 0.598 0.000
0.250 0.750 0.500
0.750 0.250 0.500
```

Record 2
# HoScB2O6

HoScB2O6 at its PBEsol-relaxed geometry (meta-GGA SCAN, Alexandria).

- E_tot (eV per cell) = -149.039
- ΔE_f (raw) (meV per atom) = -3357
- V (Å³/f.u.) = 107.3
- total moment (μB/f.u.) = 0.0

```
HoScB2O6
1.0
2.428 1.402 5.257
-2.428 1.402 5.257
0.000 -2.803 5.257
Ho Sc B O
1 1 2 6
direct
0.000 0.000 0.000
0.500 0.500 0.500
0.246 0.246 0.246
0.754 0.754 0.754
0.046 0.736 0.477
0.264 0.523 0.954
0.477 0.046 0.736
0.523 0.954 0.264
0.736 0.477 0.046
0.954 0.264 0.523
```

Record 3
# Y3SCl

Y3SCl at its PBEsol-relaxed geometry (meta-GGA SCAN, Alexandria).

- E_tot (eV per cell) = -102.937
- ΔE_f (raw) (meV per atom) = -361
- V (Å³/f.u.) = 125.4
- total moment (μB/f.u.) = 2.4

```
Y3SCl
1.0
5.006 0.000 0.000
0.000 5.006 0.000
0.000 0.000 5.006
Y S Cl
3 1 1
direct
0.000 0.000 0.500
0.000 0.500 0.000
0.500 0.000 0.000
0.500 0.500 0.500
0.000 0.000 0.000
```

Record 4
# ZnOsPt2

ZnOsPt2 at its PBEsol-relaxed geometry (meta-GGA SCAN, Alexandria).

- E_tot (eV per cell) = -225.674
- V (Å³/f.u.) = 57.4
- total moment (μB/f.u.) = 0.0
- formation energy from the elements (eV/atom) = 0.03

```
ZnOsPt2
1.0
4.487 -1.360 0.000
4.487 1.360 0.000
-0.728 0.000 4.700
Zn Os Pt
1 1 2
direct
0.000 0.000 0.000
0.500 0.500 0.500
0.247 0.247 0.746
0.753 0.753 0.254
```

Record 5
# FeCoW2

FeCoW2 at its PBEsol-relaxed geometry (meta-GGA SCAN, Alexandria).

- E above lowest polymorph (eV per formula unit) = 0.87
- E_tot (eV per cell) = -172.864
- V (Å³/f.u.) = 52.0
- total moment (μB/f.u.) = 0.0
- formation energy from the elements (eV/atom) = 0.49

```
FeCoW2
1.0
0.000 2.962 2.962
2.962 0.000 2.962
2.962 2.962 0.000
Fe Co W
1 1 2
direct
0.000 0.000 0.000
0.250 0.250 0.250
0.500 0.500 0.500
0.750 0.750 0.750
```

Record 6
# Na5CuCO5

Na5CuCO5 at its PBEsol-relaxed geometry (meta-GGA SCAN, Alexandria).

- E_tot (eV per cell) = -96.118
- ΔE_f (raw) (meV per atom) = -1549
- V (Å³/f.u.) = 178.4
- total moment (μB/f.u.) = 0.1

```
Na5CuCO5
1.0
4.420 0.000 0.000
0.000 8.397 0.000
0.000 0.000 4.806
Na Cu C O
5 1 1 5
direct
0.000 0.000 0.000
0.000 0.275 0.538
0.000 0.725 0.538
0.500 0.255 0.032
0.500 0.745 0.032
0.000 0.500 0.040
0.500 0.000 0.463
0.000 0.287 0.041
0.000 0.713 0.041
0.500 0.000 0.193
0.500 0.135 0.595
0.500 0.865 0.595
```

Question: Look up the total moment of the third one.
Answer: 2.4 μB/f.u.

Please write out number 2 again, unchanged.
# HoScB2O6

HoScB2O6 at its PBEsol-relaxed geometry (meta-GGA SCAN, Alexandria).

- E_tot (eV per cell) = -149.039
- ΔE_f (raw) (meV per atom) = -3357
- V (Å³/f.u.) = 107.3
- total moment (μB/f.u.) = 0.0

```
HoScB2O6
1.0
2.428 1.402 5.257
-2.428 1.402 5.257
0.000 -2.803 5.257
Ho Sc B O
1 1 2 6
direct
0.000 0.000 0.000
0.500 0.500 0.500
0.246 0.246 0.246
0.754 0.754 0.754
0.046 0.736 0.477
0.264 0.523 0.954
0.477 0.046 0.736
0.523 0.954 0.264
0.736 0.477 0.046
0.954 0.264 0.523
```